1.
DFT (PBE) results for a relaxed structure of ZrTi4Ir5.

a b c (Å): 2.9624 2.9624 17.8107
angles (deg): 90.00 90.00 90.00
With the nearest neighbours (Å) after each atom.
Element x y z (fractional)
Zr: 0.0000 0.0000 0.0000  8 Ir 2.96, 4 Zr 2.96
Ti: 0.0000 0.0000 0.2068  8 Ir 2.63-2.70
Ti: 0.0000 0.0000 0.4018  8 Ir 2.73-2.74, 4 Ti 2.96
Ti: 0.0000 0.0000 0.5982  8 Ir 2.73-2.74, 4 Ti 2.96
Ti: 0.0000 0.0000 0.7932  8 Ir 2.63-2.70
Ir: 0.5000 0.5000 0.1172  4 Ti 2.63
Ir: 0.5000 0.5000 0.3029  8 Ti 2.70-2.74, 4 Ir 2.96
Ir: 0.5000 0.5000 0.5000  8 Ti 2.73, 4 Ir 2.96
Ir: 0.5000 0.5000 0.6971  8 Ti 2.70-2.74, 4 Ir 2.96
Ir: 0.5000 0.5000 0.8828  4 Ti 2.63

The calculation puts the energy of formation from the pure elements at -842 meV per atom. Its crystal system is tetragonal. For the density of states at the Fermi level, the calculation gives 7.519 states/eV/cell.


2.
DFT (PBE) results for a relaxed structure of Cs2YAs2S6.

a b c (Å): 7.1898 7.1898 8.6287
angles (deg): 114.28 114.28 60.09
With the nearest neighbours (Å) after each atom.
Element x y z (fractional)
Cs: 0.2096 0.2096 0.1877  9 S 3.51-3.90
Cs: 0.7904 0.7904 0.8123  9 S 3.51-3.90
Y: 0.0000 0.0000 0.5000  6 S 2.71-2.78
As: 0.4448 0.4448 0.8043  3 S 2.24
As: 0.5552 0.5552 0.1957  3 S 2.24
S: 0.2124 0.7178 0.2329  1 As 2.24
S: 0.2441 0.2441 0.6155  1 As 2.24
S: 0.2822 0.7876 0.7671  1 As 2.24
S: 0.7178 0.2124 0.2329  1 As 2.24
S: 0.7559 0.7559 0.3845  1 As 2.24
S: 0.7876 0.2822 0.7671  1 As 2.24

Its crystal system is monoclinic. For the density of states at the Fermi level, the calculation gives 3.827 states/eV/cell. For the energy relative to the elements, uncorrected, the calculation gives -0.836 eV/atom.


3.
DFT (PBE) results for a relaxed structure of K2MgBe.

a b c (Å): 5.1782 5.1782 5.2957
angles (deg): 90.00 90.00 90.00
With the nearest neighbours (Å) after each atom.
Element x y z (fractional)
K: 0.0000 0.5000 0.0000  4 K 3.66, 4 Be 3.70, 4 Mg 3.70
K: 0.5000 0.0000 0.0000  4 K 3.66, 4 Be 3.70, 4 Mg 3.70
Mg: 0.0000 0.0000 0.5000  4 Be 3.66, 8 K 3.70
Be: 0.5000 0.5000 0.5000  4 Mg 3.66, 8 K 3.70

The calculation puts the energy of formation from the pure elements at 738 meV per atom. Its crystal system is tetragonal. For the density of states at the Fermi level, the calculation gives 3.162 states/eV/cell. Its excess energy over the best structure of this formula in the dataset is 248.6 meV/atom.


4.
DFT (PBE) results for a relaxed structure of PIr3N.

a b c (Å): 4.1045 4.1045 4.1045
angles (deg): 90.00 90.00 90.00
With the nearest neighbours (Å) after each atom.
Element x y z (fractional)
P: 0.0000 0.0000 0.0000  12 Ir 2.90
Ir: 0.0000 0.5000 0.5000  2 N 2.05
Ir: 0.5000 0.0000 0.5000  2 N 2.05
Ir: 0.5000 0.5000 0.0000  2 N 2.05
N: 0.5000 0.5000 0.5000  6 Ir 2.05

Its crystal system is cubic. For the density of states at the Fermi level, the calculation gives 6.856 states/eV/cell. Its excess energy over the best structure of this formula in the dataset is 0.0 meV/atom. For the energy relative to the elements, uncorrected, the calculation gives 0.918 eV/atom.


5.
DFT (PBE) results for a relaxed structure of Er3SbS6.

a b c (Å): 11.1768 3.9681 11.2587
angles (deg): 90.00 109.29 90.00
With the nearest neighbours (Å) after each atom.
Element x y z (fractional)
Er: 0.0707 0.2500 0.1664  6 S 2.69-2.76
Er: 0.1659 0.7500 0.4923  5 S 2.64-2.81
Er: 0.3392 0.2500 0.9227  6 S 2.68-2.75
Er: 0.6608 0.7500 0.0773  6 S 2.68-2.75
Er: 0.8341 0.2500 0.5077  5 S 2.64-2.81
Er: 0.9293 0.7500 0.8336  6 S 2.69-2.76
Sb: 0.4898 0.2500 0.3156  3 S 2.62-2.68
Sb: 0.5102 0.7500 0.6844  3 S 2.62-2.68
S: 0.0143 0.2500 0.3829  4 Er 2.64-2.81
S: 0.1045 0.2500 0.9367  4 Er 2.68-2.76
S: 0.2298 0.7500 0.2794  3 Er 2.69-2.72
S: 0.3035 0.7500 0.7452  1 Sb 2.62, 3 Er 2.75
S: 0.3865 0.2500 0.5335  2 Sb 2.68
S: 0.4226 0.7500 0.0925  3 Er 2.70-2.72
S: 0.5774 0.2500 0.9075  3 Er 2.70-2.72
S: 0.6135 0.7500 0.4665  2 Sb 2.68
S: 0.6965 0.2500 0.2548  1 Sb 2.62, 3 Er 2.75
S: 0.7702 0.2500 0.7206  3 Er 2.69-2.72
S: 0.8955 0.7500 0.0633  4 Er 2.68-2.76
S: 0.9857 0.7500 0.6171  4 Er 2.64-2.81

Its crystal system is monoclinic. Its excess energy over the best structure of this formula in the dataset is 0.0 meV/atom. For the energy relative to the elements, uncorrected, the calculation gives -1.583 eV/atom.


6.
DFT (PBE) results for a relaxed structure of Pm5In4Hg.

a b c (Å): 3.8321 3.8321 19.3526
angles (deg): 90.00 90.00 90.00
With the nearest neighbours (Å) after each atom.
Element x y z (fractional)
Pm: 0.0000 0.0000 0.0000  8 In 3.33
Pm: 0.0000 0.0000 0.2004  8 In 3.33-3.35
Pm: 0.0000 0.0000 0.4020  4 Hg 3.31, 4 In 3.33
Pm: 0.0000 0.0000 0.5980  4 Hg 3.31, 4 In 3.33
Pm: 0.0000 0.0000 0.7996  8 In 3.33-3.35
In: 0.5000 0.5000 0.1001  8 Pm 3.33
In: 0.5000 0.5000 0.3018  8 Pm 3.33-3.35
In: 0.5000 0.5000 0.6982  8 Pm 3.33-3.35
In: 0.5000 0.5000 0.8999  8 Pm 3.33
Hg: 0.5000 0.5000 0.5000  8 Pm 3.31

The calculation puts the energy of formation from the pure elements at -490 meV per atom. Its crystal system is tetragonal. For the density of states at the Fermi level, the calculation gives 8.796 states/eV/cell.


7.
DFT (PBE) results for a relaxed structure of KSr2Ac.

a b c (Å): 15.1396 15.1396 15.1396
angles (deg): 15.68 15.68 15.68
With the nearest neighbours (Å) after each atom.
Element x y z (fractional)
K: 0.0000 0.0000 0.0000  6 K 4.13, 2 Sr 4.14
Sr: 0.0924 0.0924 0.0924  3 Ac 4.10, 6 Sr 4.13, 1 K 4.14
Sr: 0.9076 0.9076 0.9076  3 Ac 4.10, 6 Sr 4.13, 1 K 4.14
Ac: 0.5000 0.5000 0.5000  6 Sr 4.10, 6 Ac 4.13

The calculation puts the energy of formation from the pure elements at 127 meV per atom. Its crystal system is trigonal. For the density of states at the Fermi level, the calculation gives 6.310 states/eV/cell. Its excess energy over the best structure of this formula in the dataset is 31.5 meV/atom.


8.
DFT (PBE) results for a relaxed structure of Ca2AlPbO5.

a b c (Å): 6.5309 6.5309 12.2176
angles (deg): 90.00 90.00 151.23
With the nearest neighbours (Å) after each atom.
Element x y z (fractional)
Ca: 0.0590 0.9410 0.5000  6 O 2.27-2.49
Ca: 0.1726 0.8274 0.1014  5 O 2.35-2.42
Ca: 0.8274 0.1726 0.6014  5 O 2.35-2.42
Ca: 0.9410 0.0590 0.0000  6 O 2.27-2.49
Al: 0.2598 0.7402 0.8698  4 O 1.83-2.01
Al: 0.7402 0.2598 0.3698  4 O 1.83-2.01
Pb: 0.4456 0.5544 0.2773  5 O 2.25-2.41
Pb: 0.5544 0.4456 0.7773  5 O 2.25-2.41
O: 0.1090 0.8910 0.8938  1 Al 1.93
O: 0.2384 0.7616 0.4958  2 Al 2.24, 3 Ca 2.27-2.36
O: 0.2548 0.7452 0.2736  2 Al 2.01
O: 0.4040 0.5960 0.8749  1 Al 1.83
O: 0.4690 0.5310 0.6096  1 Pb 2.32, 4 Ca 2.39-2.42
O: 0.5310 0.4690 0.1096  1 Pb 2.32, 4 Ca 2.39-2.42
O: 0.5960 0.4040 0.3749  1 Al 1.83
O: 0.7452 0.2548 0.7736  2 Al 2.01
O: 0.7616 0.2384 0.9958  2 Al 2.24, 3 Ca 2.27-2.36
O: 0.8910 0.1090 0.3938  1 Al 1.93

Its crystal system is orthorhombic. For the density of states at the Fermi level, the calculation gives 6.733 states/eV/cell. For the energy relative to the elements, uncorrected, the calculation gives -2.247 eV/atom.


9.
DFT (PBE) results for a relaxed structure of ErTcGe2.

a b c (Å): 6.0358 6.0358 5.7175
angles (deg): 106.06 106.06 117.71
With the nearest neighbours (Å) after each atom.
Element x y z (fractional)
Er: 0.1350 0.8650 0.7500  3 Tc 3.07-3.39, 8 Ge 3.08-3.22
Er: 0.8650 0.1350 0.2500  3 Tc 3.07-3.39, 8 Ge 3.08-3.22
Tc: 0.4635 0.5365 0.7500  4 Ge 2.43-2.49
Tc: 0.5365 0.4635 0.2500  4 Ge 2.43-2.49
Ge: 0.1128 0.3888 0.9106  2 Tc 2.43-2.49, 2 Ge 2.53-2.65
Ge: 0.3888 0.1128 0.4106  2 Tc 2.43-2.49, 2 Ge 2.53-2.65
Ge: 0.6112 0.8872 0.5894  2 Tc 2.43-2.49, 2 Ge 2.53-2.65
Ge: 0.8872 0.6112 0.0894  2 Tc 2.43-2.49, 2 Ge 2.53-2.65

The calculation puts the energy of formation from the pure elements at -498 meV per atom. Its crystal system is monoclinic. For the density of states at the Fermi level, the calculation gives 4.159 states/eV/cell. Its excess energy over the best structure of this formula in the dataset is 0.0 meV/atom.


10.
DFT (PBE) results for a relaxed structure of Rb2SnRhI6.

a b c (Å): 8.3025 8.3025 8.3025
angles (deg): 120.09 120.09 89.85
With the nearest neighbours (Å) after each atom.
Element x y z (fractional)
Rb: 0.2500 0.7500 0.5000  12 I 4.15
Rb: 0.7500 0.2500 0.5000  12 I 4.15
Sn: 0.0000 0.0000 0.0000  6 I 3.10-3.11
Rh: 0.5000 0.5000 0.0000  6 I 2.76-2.77
I: 0.2647 0.2647 0.0000  1 Rh 2.77
I: 0.2647 0.2647 0.5294  1 Rh 2.76
I: 0.2647 0.7353 0.0000  1 Rh 2.76
I: 0.7353 0.2647 0.0000  1 Rh 2.76
I: 0.7353 0.7353 0.0000  1 Rh 2.77
I: 0.7353 0.7353 0.4706  1 Rh 2.76

Its crystal system is tetragonal. For the density of states at the Fermi level, the calculation gives 5.356 states/eV/cell. For the energy relative to the elements, uncorrected, the calculation gives -0.722 eV/atom.


11.
DFT (PBE) results for a relaxed structure of CsTl7Pd5.

a b c (Å): 7.8058 7.8058 7.8058
angles (deg): 135.75 97.75 98.56
With the nearest neighbours (Å) after each atom.
Element x y z (fractional)
Cs: 0.0000 0.0000 0.0000  10 Tl 3.39-3.72, 4 Pd 3.78
Tl: 0.1617 0.4644 0.6973  5 Pd 2.87-3.11
Tl: 0.2242 0.7242 0.5000  4 Pd 2.93, 2 Tl 3.22
Tl: 0.3523 0.3523 0.0000  5 Tl 3.20-3.31, 4 Pd 3.21
Tl: 0.3540 0.0094 0.3446  3 Pd 2.89-2.98, 1 Tl 3.19
Tl: 0.6648 0.0094 0.6554  3 Pd 2.89-2.98, 1 Tl 3.19
Tl: 0.6667 0.6667 0.0000  6 Pd 3.03-3.08, 1 Tl 3.20
Tl: 0.7672 0.4644 0.3027  5 Pd 2.87-3.11
Pd: 0.4792 0.4873 0.5048  3 Pd 2.86-3.02, 5 Tl 2.87-3.11
Pd: 0.4792 0.9744 0.9919  3 Pd 2.86-3.02, 5 Tl 2.87-3.11
Pd: 0.7563 0.2563 0.5000  6 Tl 2.93-3.08, 4 Pd 3.00
Pd: 0.9825 0.4873 0.0081  3 Pd 2.86-3.02, 5 Tl 2.87-3.11
Pd: 0.9825 0.9744 0.4952  3 Pd 2.86-3.02, 5 Tl 2.87-3.11

The calculation puts the energy of formation from the pure elements at -72 meV per atom. Its crystal system is orthorhombic. For the density of states at the Fermi level, the calculation gives 8.133 states/eV/cell.


12.
DFT (PBE) results for a relaxed structure of TaPb3.

a b c (Å): 3.2966 5.3595 6.1222
angles (deg): 90.00 103.01 90.00
With the nearest neighbours (Å) after each atom.
Element x y z (fractional)
Ta: 0.0000 0.0000 0.0000  6 Pb 3.06-3.13, 2 Ta 3.30
Pb: 0.0000 0.0000 0.5000  2 Ta 3.06, 2 Pb 3.30
Pb: 0.3571 0.5000 0.2317  2 Ta 3.13, 7 Pb 3.18-3.48
Pb: 0.6429 0.5000 0.7683  2 Ta 3.13, 7 Pb 3.18-3.48

The calculation puts the energy of formation from the pure elements at 581 meV per atom. Its crystal system is monoclinic. For the density of states at the Fermi level, the calculation gives 3.071 states/eV/cell.


13.
DFT (PBE) results for a relaxed structure of CuMoPb2.

a b c (Å): 5.0322 5.0322 5.0322
angles (deg): 60.00 60.00 60.00
With the nearest neighbours (Å) after each atom.
Element x y z (fractional)
Cu: 0.0000 0.0000 0.0000  4 Pb 3.08, 4 Mo 3.08
Mo: 0.7500 0.7500 0.7500  4 Pb 3.08, 4 Cu 3.08
Pb: 0.2500 0.2500 0.2500  4 Pb 3.08, 4 Cu 3.08
Pb: 0.5000 0.5000 0.5000  4 Mo 3.08, 4 Pb 3.08

The calculation puts the energy of formation from the pure elements at 936 meV per atom. Its crystal system is cubic. For the density of states at the Fermi level, the calculation gives 3.338 states/eV/cell. Its excess energy over the best structure of this formula in the dataset is 500.7 meV/atom.


14.
DFT (PBE) results for a relaxed structure of MgMnTlBi2.

a b c (Å): 5.5418 5.5418 5.4183
angles (deg): 90.00 90.00 90.00
With the nearest neighbours (Å) after each atom.
Element x y z (fractional)
Mg: 0.0000 0.0000 0.0000  2 Tl 2.71, 4 Bi 2.77
Mn: 0.5000 0.5000 0.5000  8 Bi 3.88, 4 Tl 3.92
Tl: 0.0000 0.0000 0.5000  2 Mg 2.71
Bi: 0.0000 0.5000 0.0000  2 Mg 2.77
Bi: 0.5000 0.0000 0.0000  2 Mg 2.77

The calculation puts the energy of formation from the pure elements at 703 meV per atom. Its crystal system is tetragonal. For the density of states at the Fermi level, the calculation gives 3.280 states/eV/cell.